[1]
Here is KMgBi2Pb after structural relaxation from the Alexandria database. Energies are from PBE.

a = 8.0832 Å, b = 8.0832 Å, c = 8.0832 Å
α = 143.52°, β = 143.52°, γ = 52.55°
Positions (direct):
K: 0.0000 0.0000 0.0000
Mg: 0.2500 0.7500 0.5000
Bi: 0.3795 0.3795 0.0000
Bi: 0.6205 0.6205 0.0000
Pb: 0.7500 0.2500 0.5000

Its calculated formation energy is -199 meV per atom.

[2]
Here is LiSnS after structural relaxation from the Alexandria database. Energies are from PBE.

a = 4.0786 Å, b = 4.0786 Å, c = 7.8838 Å
α = 90.00°, β = 90.00°, γ = 90.00°
Positions (direct):
Li: 0.2500 0.2500 0.1150
Li: 0.7500 0.7500 0.8850
Sn: 0.2500 0.7500 0.5000
Sn: 0.7500 0.2500 0.5000
S: 0.2500 0.2500 0.8081
S: 0.7500 0.7500 0.1919

[3]
Here is Li5Fe after structural relaxation from the Alexandria database. Energies are from PBE.

a = 5.0785 Å, b = 5.0785 Å, c = 4.7376 Å
α = 90.00°, β = 90.00°, γ = 120.00°
Positions (direct):
Li: 0.0000 0.5000 0.0000
Li: 0.3333 0.6667 0.5000
Li: 0.5000 0.0000 0.0000
Li: 0.5000 0.5000 0.0000
Li: 0.6667 0.3333 0.5000
Fe: 0.0000 0.0000 0.5000

Its calculated formation energy is 484 meV per atom.

[4]
Here is TaAs5 after structural relaxation from the Alexandria database. Energies are from PBE.

a = 4.7999 Å, b = 7.7845 Å, c = 7.7845 Å
α = 25.33°, β = 90.00°, γ = 90.00°
Positions (direct):
Ta: 0.0000 0.0000 0.0000
As: 0.0000 0.3593 0.3593
As: 0.0000 0.6370 0.6370
As: 0.5000 0.0742 0.0742
As: 0.5000 0.4292 0.4292
As: 0.5000 0.7082 0.7082

Its calculated formation energy is 88 meV per atom.

[5]
Here is Mn2HgS4 after structural relaxation from the Alexandria database. Energies are from PBE.

a = 5.7993 Å, b = 3.3253 Å, c = 9.1217 Å
α = 90.00°, β = 97.17°, γ = 90.00°
Positions (direct):
Mn: 0.0000 0.0000 0.0000
Mn: 0.5000 0.5000 0.0000
Hg: 0.0000 0.0000 0.5000
S: 0.1961 0.5000 0.1464
S: 0.3033 0.0000 0.8536
S: 0.6967 0.0000 0.1464
S: 0.8039 0.5000 0.8536

[6]
Here is LaPt2S after structural relaxation from the Alexandria database. Energies are from PBE.

a = 8.2359 Å, b = 8.2359 Å, c = 8.2359 Å
α = 144.07°, β = 144.07°, γ = 51.72°
Positions (direct):
La: 0.0000 0.0000 0.0000
La: 0.7500 0.2500 0.5000
Pt: 0.2686 0.6250 0.1436
Pt: 0.3750 0.5186 0.6436
Pt: 0.4814 0.1250 0.8564
Pt: 0.8750 0.7314 0.3564
S: 0.2500 0.7500 0.5000
S: 0.5000 0.5000 0.0000

[7]
Here is Rb2RhBr6O after structural relaxation from the Alexandria database. Energies are from PBE.

a = 7.4307 Å, b = 7.4307 Å, c = 7.4307 Å
α = 112.42°, β = 112.42°, γ = 103.72°
Positions (direct):
Rb: 0.2500 0.7500 0.5000
Rb: 0.7500 0.2500 0.5000
Rh: 0.0000 0.0000 0.0000
Br: 0.2155 0.2155 0.4310
Br: 0.2155 0.7845 0.0000
Br: 0.2765 0.2765 0.0000
Br: 0.7235 0.7235 0.0000
Br: 0.7845 0.2155 0.0000
Br: 0.7845 0.7845 0.5690
O: 0.5000 0.5000 0.0000

[8]
Here is NaInSeO4 after structural relaxation from the Alexandria database. Energies are from PBE.

a = 6.5001 Å, b = 6.5001 Å, c = 6.5001 Å
α = 121.23°, β = 114.60°, γ = 93.73°
Positions (direct):
Na: 0.0000 0.0000 0.0000
Na: 0.5000 0.0000 0.5000
In: 0.5000 0.0000 0.0000
In: 0.5000 0.5000 0.5000
Se: 0.1059 0.3559 0.7500
Se: 0.8941 0.6441 0.2500
O: 0.2215 0.2565 0.5350
O: 0.2215 0.6865 0.9650
O: 0.2963 0.7490 0.5473
O: 0.2983 0.2510 0.0473
O: 0.7017 0.7490 0.9527
O: 0.7037 0.2510 0.4527
O: 0.7785 0.3135 0.0350
O: 0.7785 0.7435 0.4650

[9]
Here is LiCu2Au3 after structural relaxation from the Alexandria database. Energies are from PBE.

a = 6.3903 Å, b = 6.3903 Å, c = 5.5799 Å
α = 90.00°, β = 90.00°, γ = 68.76°
Positions (direct):
Li: 0.1334 0.8666 0.5000
Li: 0.8666 0.1334 0.0000
Cu: 0.1329 0.6242 0.0022
Cu: 0.3758 0.8671 0.0022
Cu: 0.6242 0.1329 0.5022
Cu: 0.8671 0.3758 0.5022
Au: 0.2273 0.2276 0.2518
Au: 0.2276 0.2273 0.7518
Au: 0.4992 0.5008 0.7508
Au: 0.5008 0.4992 0.2508
Au: 0.7724 0.7727 0.2518
Au: 0.7727 0.7724 0.7518

Its calculated formation energy is -82 meV per atom.

[10]
Here is CuSi2I after structural relaxation from the Alexandria database. Energies are from PBE.

a = 7.1568 Å, b = 7.1568 Å, c = 7.1568 Å
α = 131.17°, β = 131.17°, γ = 71.54°
Positions (direct):
Cu: 0.0000 0.0000 0.0000
Cu: 0.7500 0.2500 0.5000
Si: 0.0187 0.6250 0.8937
Si: 0.3750 0.2687 0.3937
Si: 0.7313 0.1250 0.1063
Si: 0.8750 0.9813 0.6063
I: 0.2500 0.7500 0.5000
I: 0.5000 0.5000 0.0000

[11]
Here is MnV5Cr6 after structural relaxation from the Alexandria database. Energies are from PBE.

a = 6.4799 Å, b = 6.4799 Å, c = 5.7922 Å
α = 90.00°, β = 90.00°, γ = 143.19°
Positions (direct):
Mn: 0.0000 0.0000 0.0000
V: 0.0000 0.0000 0.5000
V: 0.3340 0.6660 0.0000
V: 0.3339 0.6661 0.5000
V: 0.6660 0.3340 0.0000
V: 0.6661 0.3339 0.5000
Cr: 0.1649 0.8351 0.2479
Cr: 0.1649 0.8351 0.7521
Cr: 0.5000 0.5000 0.2474
Cr: 0.5000 0.5000 0.7526
Cr: 0.8351 0.1649 0.2479
Cr: 0.8351 0.1649 0.7521

Its calculated formation energy is -97 meV per atom.

[12]
Here is ErHfRh4 after structural relaxation from the Alexandria database. Energies are from PBE.

a = 5.3098 Å, b = 5.3098 Å, c = 6.7036 Å
α = 109.13°, β = 109.13°, γ = 35.58°
Positions (direct):
Er: 0.0000 0.0000 0.0000
Hf: 0.0000 0.0000 0.5000
Rh: 0.3302 0.3302 0.1903
Rh: 0.3463 0.3463 0.6466
Rh: 0.6537 0.6537 0.3534
Rh: 0.6698 0.6698 0.8097

Its calculated formation energy is -526 meV per atom.

[13]
Here is KBeFe after structural relaxation from the Alexandria database. Energies are from PBE.

a = 5.0386 Å, b = 5.0386 Å, c = 5.0386 Å
α = 60.00°, β = 60.00°, γ = 60.00°
Positions (direct):
K: 0.0000 0.0000 0.0000
Be: 0.2500 0.2500 0.2500
Fe: 0.7500 0.7500 0.7500

Its calculated formation energy is 2061 meV per atom.

[14]
Here is ZrCr2Os after structural relaxation from the Alexandria database. Energies are from PBE.

a = 2.7396 Å, b = 2.7396 Å, c = 8.5375 Å
α = 90.00°, β = 90.00°, γ = 112.92°
Positions (direct):
Zr: 0.0000 0.0000 0.0000
Cr: 0.0000 0.0000 0.5233
Cr: 0.5000 0.5000 0.7273
Os: 0.5000 0.5000 0.2830

Its calculated formation energy is 249 meV per atom.

[15]
Here is KTlSb2 after structural relaxation from the Alexandria database. Energies are from PBE.

a = 5.6405 Å, b = 5.6405 Å, c = 5.6405 Å
α = 60.00°, β = 60.00°, γ = 60.00°
Positions (direct):
K: 0.0000 0.0000 0.0000
Tl: 0.5000 0.5000 0.5000
Sb: 0.2500 0.2500 0.2500
Sb: 0.7500 0.7500 0.7500

[16]
Here is Tl2In5Hg12 after structural relaxation from the Alexandria database. Energies are from PBE.

a = 9.1680 Å, b = 9.1680 Å, c = 7.7402 Å
α = 96.71°, β = 96.71°, γ = 55.86°
Positions (direct):
Tl: 0.2385 0.7615 0.0000
Tl: 0.7615 0.2385 0.0000
In: 0.0000 0.0000 0.5000
In: 0.2320 0.2320 0.5140
In: 0.3459 0.3459 0.9055
In: 0.6541 0.6541 0.0945
In: 0.7680 0.7680 0.4860
Hg: 0.0714 0.4680 0.1973
Hg: 0.1259 0.1259 0.8618
Hg: 0.1686 0.6217 0.5972
Hg: 0.3783 0.8314 0.4028
Hg: 0.4454 0.4454 0.2967
Hg: 0.4680 0.0714 0.1973
Hg: 0.5320 0.9286 0.8027
Hg: 0.5546 0.5546 0.7033
Hg: 0.6217 0.1686 0.5972
Hg: 0.8314 0.3783 0.4028
Hg: 0.8741 0.8741 0.1382
Hg: 0.9286 0.5320 0.8027

Its calculated formation energy is 15 meV per atom.

[17]
Here is NaNbGe2H after structural relaxation from the Alexandria database. Energies are from PBE.

a = 4.6724 Å, b = 4.6724 Å, c = 3.6197 Å
α = 90.00°, β = 90.00°, γ = 90.00°
Positions (direct):
Na: 0.0000 0.0000 0.0000
Nb: 0.5000 0.5000 0.0000
Ge: 0.0000 0.5000 0.5000
Ge: 0.5000 0.0000 0.5000
H: 0.5000 0.5000 0.5000

[18]
Here is CsB2Cl after structural relaxation from the Alexandria database. Energies are from PBE.

a = 10.6985 Å, b = 10.6985 Å, c = 10.6985 Å
α = 157.24°, β = 157.24°, γ = 32.41°
Positions (direct):
Cs: 0.3750 0.6250 0.7500
Cs: 0.6250 0.3750 0.2500
B: 0.0000 0.0000 0.0000
B: 0.0000 0.0000 0.5000
B: 0.0000 0.5000 0.0000
B: 0.5000 0.0000 0.5000
Cl: 0.1250 0.8750 0.2500
Cl: 0.8750 0.1250 0.7500

[19]
Here is La3PuN after structural relaxation from the Alexandria database. Energies are from PBE.

a = 5.1773 Å, b = 5.1773 Å, c = 5.1773 Å
α = 90.00°, β = 90.00°, γ = 90.00°
Positions (direct):
La: 0.0000 0.0000 0.5000
La: 0.0000 0.5000 0.0000
La: 0.5000 0.0000 0.0000
Pu: 0.5000 0.5000 0.5000
N: 0.0000 0.0000 0.0000

[20]
Here is NdY2Hg after structural relaxation from the Alexandria database. Energies are from PBE.

a = 10.7849 Å, b = 10.7849 Å, c = 10.7849 Å
α = 19.70°, β = 19.70°, γ = 19.70°
Positions (direct):
Nd: 0.0000 0.0000 0.0000
Y: 0.5738 0.5738 0.5738
Y: 0.7592 0.7592 0.7592
Hg: 0.1663 0.1663 0.1663

Its calculated formation energy is -166 meV per atom.

It is found that the spin magnetization values, taken in the order of the records, are 0.00; 0.00; 2.67; 0.00; 5.91; 0.00; 1.80; 0.00; 0.00; 0.00; 0.00; 0.00; 3.29; 0.00; 0.00; 0.00; 0.00; 0.00; 7.57; 0.00 μB/f.u..
It is found that the calculated total energy values, taken in the order of the records, are -15.2; -22.8; -15.1; -34.6; -38.3; -48.3; -30.9; -71.3; -40.9; -28.7; -113.7; -47.1; -7.1; -38.0; -11.3; -21.8; -22.6; -23.3; -39.3; -18.7 eV/cell.